# 1
Entry from Alexandria: a geometry-optimized LuAsSe structure (PBE).

Cell and atoms, written as POSCAR:
```
LuAsSe
1.0
7.1415 0.0000 0.0000
0.0000 3.8323 0.0000
0.0000 0.0000 9.4695
Lu As Se
4 4 4
Direct
0.2186 0.2500 0.1610
0.2814 0.7500 0.6610
0.7186 0.2500 0.3390
0.7814 0.7500 0.8390
0.1046 0.2500 0.4591
0.3954 0.7500 0.9591
0.6046 0.2500 0.0409
0.8954 0.7500 0.5409
0.0832 0.2500 0.8469
0.4168 0.7500 0.3469
0.5832 0.2500 0.6531
0.9168 0.7500 0.1531
```

Properties
SG: Pnma
Total energy in eV per formula unit: -16.7
Fermi-level density of states in states/eV/cell: 0.0
M_tot in μB per cell: 0.00
Energy relative to the elements, uncorrected in eV per atom: -1.34

=====

# 2
Entry from Alexandria: a geometry-optimized BaSnSb2Au4 structure (PBE).

Cell and atoms, written as POSCAR:
```
BaSnSb2Au4
1.0
5.0215 0.0000 0.0000
0.0000 5.0215 0.0000
0.0000 0.0000 8.3296
Ba Sn Sb Au
1 1 2 4
Direct
0.0000 0.0000 0.0000
0.0000 0.0000 0.5000
0.5000 0.5000 0.1778
0.5000 0.5000 0.8222
0.0000 0.5000 0.3229
0.0000 0.5000 0.6771
0.5000 0.0000 0.3229
0.5000 0.0000 0.6771
```

Properties
SG: P4/mmm
Total energy in eV per formula unit: -30.3
Fermi-level density of states in states/eV/cell: 1.9
M_tot in μB per cell: 0.00
Energy relative to the elements, uncorrected in eV per atom: -0.38

=====

# 3
Entry from Alexandria: a geometry-optimized Tb4PtS3 structure (PBE).

Cell and atoms, written as POSCAR:
```
Tb4PtS3
1.0
5.6505 0.0000 0.0000
0.0000 5.6505 0.0000
0.0000 0.0000 5.6505
Tb Pt S
4 1 3
Direct
0.0000 0.0000 0.0000
0.0000 0.5000 0.5000
0.5000 0.0000 0.5000
0.5000 0.5000 0.0000
0.5000 0.5000 0.5000
0.0000 0.0000 0.5000
0.0000 0.5000 0.0000
0.5000 0.0000 0.0000
```

Properties
SG: Pm-3m
Total energy in eV per formula unit: -50.9
Fermi-level density of states in states/eV/cell: 7.5
M_tot in μB per cell: 0.00
Energy relative to the elements, uncorrected in eV per atom: -1.74